4
Lattice="4.575 -1.371 0.000 4.575 1.371 0.000 -0.812 0.000 4.677" Properties=species:S:1:pos:R:3 comment="Re2IrOs PBE optimized geometry" final_energy_ev_per_atom=-11.262 formation_enthalpy_0k_ev_per_atom=-0.015 pbc="T T T"
Re 2.072 0.000 1.151
Re 6.267 0.000 3.526
Ir -0.406 0.000 2.338
Os 4.575 0.000 0.000